Material: CrCo3Ag
Method: DFT, PBE-GGA
State: relaxed

Computed properties:
- Space-group type: Pm-3m, No. 221
- Energy relative to the lowest polymorph listed for this composition: 0.000 eV/atom
- ΔH_f (0 K): 5.61 eV per formula unit
- Total magnetization: 1.1 μB/cell
- Energy: -5.637 eV/atom

Cell: 4.193 4.193 4.193 Å, 90.00 90.00 90.00°
Fractional positions:
Cr 0.000 0.000 0.000
Co 0.000 0.000 0.500
Co 0.000 0.500 0.000
Co 0.500 0.000 0.000
Ag 0.500 0.500 0.500